Record 1
Density functional theory data (PBE) for a geometry-optimized Li4Np3S8 structure.

## Properties
The value obtained for the density of states at the Fermi level is 1.866 states/eV per atom. The value obtained for the total magnetization is 0.6000 μB per atom. For the uncorrected formation energy, the calculation gives -1242.7 meV/atom. The calculation puts the electronic total energy at -6.54 eV/atom.

The structure in CIF format:
```
data_Li4Np3S8
_cell_length_a 10.4525
_cell_length_b 10.8476
_cell_length_c 7.5513
_cell_angle_alpha 90.00
_cell_angle_beta 133.23
_cell_angle_gamma 90.00
_space_group_name_H-M_alt 'C 1 2/m 1'
_space_group_IT_number 12
_space_group_name_Hall '-C 2y'
loop_
_atom_site_label
_atom_site_type_symbol
_atom_site_fract_x
_atom_site_fract_y
_atom_site_fract_z
_atom_site_occupancy
Li1 Li 0.0000 0.0000 0.0000 1
Li2 Li 0.0000 0.5000 0.5000 1
Li3 Li 0.2500 0.2500 0.0000 1
Np1 Np 0.0000 0.5000 0.0000 1
Np2 Np 0.2500 0.2500 0.5000 1
S1 S 0.0000 0.2482 0.0000 1
S2 S 0.0000 0.2563 0.5000 1
S3 S 0.2300 0.5000 0.9824 1
S4 S 0.2495 0.0000 0.5066 1
```

Record 2
Density functional theory data (PBE) for a geometry-optimized MgRe2O8 structure.

## Properties
The value obtained for the density of states at the Fermi level is 0.000 states/eV per atom. The value obtained for the total magnetization is 0.0000 μB per atom. For the uncorrected formation energy, the calculation gives -1894.2 meV/atom. The calculation puts the electronic total energy at -7.91 eV/atom.

The structure in CIF format:
```
data_MgRe2O8
_cell_length_a 5.8193
_cell_length_b 5.8193
_cell_length_c 6.6684
_cell_angle_alpha 90.00
_cell_angle_beta 90.00
_cell_angle_gamma 120.00
_space_group_name_H-M_alt 'P -3 m 1'
_space_group_IT_number 164
_space_group_name_Hall '-P 3 2"'
loop_
_atom_site_label
_atom_site_type_symbol
_atom_site_fract_x
_atom_site_fract_y
_atom_site_fract_z
_atom_site_occupancy
Mg1 Mg 0.0000 0.0000 0.0000 1
Re1 Re 0.3333 0.6667 0.2675 1
O1 O 0.1691 0.3383 0.1794 1
O2 O 0.3333 0.6667 0.5274 1
```

Record 3
Density functional theory data (PBE) for a geometry-optimized Ce2Ga3HgPt4 structure.

## Properties
The value obtained for the density of states at the Fermi level is 1.069 states/eV per atom. The value obtained for the total magnetization is 0.1276 μB per atom. For the formation energy, the calculation gives -816 meV/atom. The calculation puts the electronic total energy at -5.36 eV/atom.

The structure in CIF format:
```
data_Ce2Ga3HgPt4
_cell_length_a 4.1107
_cell_length_b 4.1107
_cell_length_c 11.7685
_cell_angle_alpha 90.00
_cell_angle_beta 90.00
_cell_angle_gamma 90.00
_space_group_name_H-M_alt 'P -4 m 2'
_space_group_IT_number 115
_space_group_name_Hall 'P -4 -2'
loop_
_atom_site_label
_atom_site_type_symbol
_atom_site_fract_x
_atom_site_fract_y
_atom_site_fract_z
_atom_site_occupancy
Ce1 Ce 0.0000 0.5000 0.2477 1
Ga1 Ga 0.0000 0.5000 0.8746 1
Ga2 Ga 0.5000 0.5000 0.5000 1
Hg1 Hg 0.0000 0.0000 0.5000 1
Pt1 Pt 0.0000 0.0000 0.0000 1
Pt2 Pt 0.0000 0.5000 0.6652 1
Pt3 Pt 0.5000 0.5000 0.0000 1
```